# 1
BeAs2PbBr: relaxed, PBE-GGA.

Cell and atoms, written as POSCAR:
```
BeAs2PbBr
1.0
5.5525 0.0000 0.0000
0.0000 5.5525 0.0000
0.0000 0.0000 5.7203
Be As Pb Br
1 2 1 1
Direct
0.0000 0.0000 0.0000
0.0000 0.5000 0.5000
0.5000 0.0000 0.5000
0.5000 0.5000 0.5000
0.5000 0.5000 0.0000
```

- total energy (eV per atom) = -2.46
- distance to the lowest polymorph of the same formula (eV per atom) = 1.057
- spin magnetization (μB per formula unit) = 2.0
- density of states at the Fermi level (states/eV/f.u.) = 4.56

***

# 2
La8PmTm3: relaxed, PBE-GGA.

Cell and atoms, written as POSCAR:
```
La8PmTm3
1.0
6.4146 0.0000 0.0000
3.1842 8.1351 0.0000
3.1952 0.4212 8.1353
La Pm Tm
8 1 3
Direct
0.0000 0.0000 0.0000
0.0004 0.3274 0.6738
0.0993 0.2431 0.2497
0.0989 0.5738 0.9209
0.5059 0.4999 0.5003
0.5057 0.8276 0.1735
0.5933 0.0790 0.4266
0.5931 0.7493 0.7559
0.0156 0.6636 0.3371
0.0877 0.9131 0.5895
0.5119 0.1634 0.8370
0.5902 0.4102 0.0869
```

- total energy (eV per atom) = -4.76
- spin magnetization (μB per formula unit) = 0.0
- density of states at the Fermi level (states/eV/f.u.) = 22.87